No. 1
LiTbGa2 PBE optimized geometry; uncorrected energy = -3.634 eV/atom; density of states at the Fermi level = 5.55 states/eV/cell; crystal system = trigonal
1.0
4.294 0.000 0.000
-2.147 3.719 0.000
0.000 0.000 15.046
Li Tb Ga
3 3 6
Cartesian
0.000 0.000 0.000
0.000 2.479 10.031
2.147 1.240 5.015
0.000 0.000 7.523
0.000 2.479 2.508
2.147 1.240 12.538
0.000 0.000 4.346
0.000 0.000 10.700
0.000 2.479 5.685
0.000 2.479 14.377
2.147 1.240 0.669
2.147 1.240 9.362

=====

No. 2
Li2Tb3Ga9 PBE optimized geometry; uncorrected energy = -3.735 eV/atom; density of states at the Fermi level = 6.58 states/eV/cell; crystal system = orthorhombic
1.0
-2.122 4.867 6.354
2.122 -4.867 6.354
2.122 4.867 -6.354
Li Tb Ga
2 3 9
Cartesian
0.000 1.997 0.000
0.000 7.737 0.000
0.000 0.000 2.398
0.000 0.000 6.354
0.000 0.000 10.311
2.122 0.000 0.000
2.122 2.171 -1.743
2.122 -1.279 4.324
2.122 2.171 1.743
2.122 1.279 4.324
0.000 3.588 2.031
0.000 2.696 4.611
0.000 6.146 2.031
0.000 2.696 8.097

=====

No. 3
LiTb4Ga PBE optimized geometry; uncorrected energy = -3.837 eV/atom; density of states at the Fermi level = 12.36 states/eV/cell; crystal system = orthorhombic
1.0
2.139 -13.732 0.000
2.139 13.732 0.000
0.000 0.000 6.355
Li Tb Ga
2 8 2
Cartesian
2.139 13.010 3.178
2.139 -13.010 0.000
2.139 11.229 0.133
2.139 8.522 2.026
2.139 7.800 5.134
2.139 3.198 0.465
2.139 -3.198 3.642
2.139 -7.800 1.957
2.139 -8.522 5.204
2.139 -11.229 3.311
2.139 4.490 3.418
2.139 -4.490 0.240

=====

No. 4
Li2TbGa2 PBE optimized geometry; uncorrected energy = -3.222 eV/atom; density of states at the Fermi level = 6.24 states/eV/cell; crystal system = orthorhombic
1.0
3.582 0.000 0.000
0.000 4.442 0.000
0.000 0.000 12.154
Li Tb Ga
4 2 4
Cartesian
0.895 1.110 0.188
0.895 3.331 4.457
2.686 1.110 7.698
2.686 3.331 11.966
0.895 3.331 9.066
2.686 1.110 3.088
0.895 1.110 5.768
0.895 3.331 1.900
2.686 1.110 10.254
2.686 3.331 6.386

=====

No. 5
LiTb4Ga12 PBE optimized geometry; uncorrected energy = -3.876 eV/atom; density of states at the Fermi level = 3.12 states/eV/cell; crystal system = cubic
1.0
-4.340 4.340 4.340
4.340 -4.340 4.340
4.340 4.340 -4.340
Li Tb Ga
1 4 12
Cartesian
0.000 0.000 0.000
2.170 2.170 -2.170
2.170 -2.170 2.170
-2.170 2.170 2.170
2.170 2.170 2.170
2.567 0.000 0.000
6.114 0.000 0.000
4.340 2.170 0.000
4.340 0.000 2.170
0.000 2.567 0.000
0.000 0.000 2.567
2.170 4.340 0.000
2.170 0.000 4.340
0.000 6.114 0.000
0.000 0.000 6.114
0.000 4.340 2.170
0.000 2.170 4.340

=====

No. 6
LiTb6Ga2 PBE optimized geometry; uncorrected energy = -3.967 eV/atom; density of states at the Fermi level = 13.17 states/eV/cell; crystal system = orthorhombic
1.0
-2.458 3.598 7.502
2.458 -3.598 7.502
2.458 3.598 -7.502
Li Tb Ga
1 6 2
Cartesian
0.000 0.000 0.000
2.458 -1.782 4.973
2.458 1.868 0.000
0.000 1.816 2.528
2.458 1.782 4.973
0.000 1.730 7.502
0.000 5.380 2.528
0.000 0.000 4.994
0.000 0.000 10.009

=====

No. 7
Li2TbGa2 PBE optimized geometry; uncorrected energy = -3.287 eV/atom; density of states at the Fermi level = 5.53 states/eV/cell; crystal system = orthorhombic
1.0
-1.811 2.192 12.551
1.811 -2.192 12.551
1.811 2.192 -12.551
Li Tb Ga
4 2 4
Cartesian
1.811 1.096 -5.162
0.000 1.096 4.893
1.811 1.096 7.658
0.000 1.096 17.713
1.811 1.096 1.944
0.000 1.096 10.608
1.811 -1.096 9.290
1.811 -1.096 11.884
0.000 3.288 0.667
0.000 3.288 3.261

=====

No. 8
Li3TbGa3 PBE optimized geometry; uncorrected energy = -2.615 eV/atom; density of states at the Fermi level = 6.20 states/eV/cell; crystal system = cubic
1.0
6.632 0.000 0.000
0.000 6.632 0.000
0.000 0.000 6.632
Li Tb Ga
6 2 6
Cartesian
0.000 1.658 3.316
0.000 4.974 3.316
1.658 3.316 0.000
3.316 0.000 1.658
3.316 0.000 4.974
4.974 3.316 0.000
0.000 0.000 0.000
3.316 3.316 3.316
0.000 3.316 1.658
0.000 3.316 4.974
1.658 0.000 3.316
3.316 1.658 0.000
3.316 4.974 0.000
4.974 0.000 3.316

=====

No. 9
Li2TbGa6 PBE optimized geometry; uncorrected energy = -3.266 eV/atom; density of states at the Fermi level = 2.31 states/eV/cell; crystal system = orthorhombic
1.0
-1.780 3.712 6.359
1.780 -3.712 6.359
1.780 3.712 -6.359
Li Tb Ga
2 1 6
Cartesian
0.000 0.000 1.622
0.000 0.000 11.095
0.000 3.712 0.000
1.780 2.381 -2.347
1.780 1.258 0.000
0.000 1.331 4.011
1.780 2.381 2.347
0.000 2.453 6.359
0.000 1.331 8.706

=====

No. 10
Li4TbGa PBE optimized geometry; uncorrected energy = -2.636 eV/atom; density of states at the Fermi level = 1.64 states/eV/cell; crystal system = cubic
1.0
0.000 3.804 3.804
3.804 0.000 3.804
3.804 3.804 0.000
Li Tb Ga
4 1 1
Cartesian
0.939 0.939 0.939
2.865 2.865 0.939
2.865 0.939 2.865
0.939 2.865 2.865
3.804 3.804 3.804
5.705 5.705 5.705

=====

No. 11
LiTbGa2 PBE optimized geometry; uncorrected energy = -3.588 eV/atom; density of states at the Fermi level = 0.42 states/eV/cell; crystal system = tetragonal
1.0
4.732 0.000 0.000
0.000 4.732 0.000
0.000 0.000 3.675
Li Tb Ga
1 1 2
Cartesian
0.000 0.000 0.000
2.366 2.366 0.000
0.000 2.366 1.837
2.366 0.000 1.837

=====

No. 12
LiTbGa2 PBE optimized geometry; uncorrected energy = -3.612 eV/atom; density of states at the Fermi level = 3.43 states/eV/cell; crystal system = cubic
1.0
6.833 0.000 0.000
0.000 6.833 0.000
0.000 0.000 6.833
Li Tb Ga
4 4 8
Cartesian
0.000 0.000 0.000
0.000 3.416 3.416
3.416 0.000 3.416
3.416 3.416 0.000
0.000 0.000 3.416
0.000 3.416 0.000
3.416 0.000 0.000
3.416 3.416 3.416
1.708 1.708 1.708
1.708 1.708 5.124
1.708 5.124 1.708
1.708 5.124 5.124
5.124 1.708 1.708
5.124 1.708 5.124
5.124 5.124 1.708
5.124 5.124 5.124